1.
V2Fe3Ni3 | PBE | relaxed

Results
The formation enthalpy at 0 K comes out at -170.3 meV/atom. For the size of the total moment, the calculation gives 3.55 μB/f.u. As for the crystal system: orthorhombic. The density of states at the Fermi level comes out at 0.53 states/eV/atom. The raw total energy is -7.79 eV per atom. The calculated density is 8.12 Mg/m³.

Cell: 3.6213 3.5710 7.0461 Å, 90.00 90.00 90.00°
With the nearest neighbours (Å) after each atom.
Fractional coordinates of all 8 atoms:
Ni 0.5000 0.5000 0.7535  2 Ni 2.49, 6 Fe 2.51-2.54, 4 V 2.54
Ni 0.5000 0.0000 0.0000  4 Ni 2.49, 4 Fe 2.54, 4 V 2.56
Ni 0.5000 0.5000 0.2465  2 Ni 2.49, 6 Fe 2.51-2.54, 4 V 2.54
Fe 0.0000 0.5000 0.5000  4 V 2.47, 4 Fe 2.54, 4 Ni 2.54
Fe 0.5000 0.0000 0.5000  4 V 2.49, 4 Ni 2.53, 4 Fe 2.54
Fe 0.0000 0.5000 0.0000  8 Ni 2.51-2.54, 4 V 2.54
V 0.0000 0.0000 0.7427  6 Fe 2.47-2.54, 6 Ni 2.54-2.56
V 0.0000 0.0000 0.2573  6 Fe 2.47-2.54, 6 Ni 2.54-2.56



2.
VFe2Ni8 | PBE | relaxed

Results
The formation enthalpy at 0 K comes out at 82.8 meV/atom. For the size of the total moment, the calculation gives 7.57 μB/f.u. The offset from the most stable computed form is 0 meV/atom. As for the crystal system: orthorhombic. The density of states at the Fermi level comes out at 0.96 states/eV/atom. The raw total energy is -6.49 eV per atom. The calculated density is 8.08 Mg/m³.

Cell: 3.7872 5.9559 5.9559 Å, 104.81 90.01 90.01°
With the nearest neighbours (Å) after each atom.
Fractional coordinates of all 11 atoms:
Ni 0.0003 0.0370 0.3029  2 Fe 2.40-2.62, 7 Ni 2.47-2.56, 2 V 2.59
Ni 0.9997 0.9630 0.6971  2 Fe 2.40-2.62, 7 Ni 2.47-2.56, 2 V 2.59
Ni 0.9997 0.6971 0.9630  2 Fe 2.40-2.62, 7 Ni 2.47-2.56, 2 V 2.59
Ni 0.5003 0.3319 0.3319  1 V 2.41, 7 Ni 2.44-2.67, 4 Fe 2.53-2.54
Ni 0.5000 0.2481 0.7519  2 Fe 2.25, 1 V 2.34, 4 Ni 2.51
Ni 0.5000 0.7519 0.2481  2 Fe 2.25, 1 V 2.34, 4 Ni 2.51
Ni 0.4997 0.6681 0.6681  1 V 2.41, 7 Ni 2.44-2.67, 4 Fe 2.53-2.54
Ni 0.0003 0.3029 0.0370  2 Fe 2.40-2.62, 7 Ni 2.47-2.56, 2 V 2.59
Fe 0.0000 0.6228 0.3772  4 Ni 2.25-2.40, 1 Fe 2.32
Fe 0.0000 0.3772 0.6228  4 Ni 2.25-2.40, 1 Fe 2.32
V 0.5000 0.0000 0.0000  12 Ni 2.34-2.59



3.
V2FeNi9 | PBE | relaxed

Results
The formation enthalpy at 0 K comes out at -153.8 meV/atom. For the size of the total moment, the calculation gives 5.52 μB/f.u. As for the crystal system: tetragonal. The density of states at the Fermi level comes out at 0.77 states/eV/atom. The raw total energy is -6.71 eV per atom. The calculated density is 8.46 Mg/m³.

Cell: 3.5515 3.5515 10.6791 Å, 90.00 90.00 90.00°
With the nearest neighbours (Å) after each atom.
Fractional coordinates of all 12 atoms:
Ni 0.0000 0.5000 0.5000  8 Ni 2.50-2.51, 4 V 2.54
Ni 0.5000 0.0000 0.1680  2 V 2.47, 8 Ni 2.51-2.52, 2 Fe 2.52
Ni 0.0000 0.5000 0.8320  2 V 2.47, 8 Ni 2.51-2.52, 2 Fe 2.52
Ni 0.0000 0.5000 0.1680  2 V 2.47, 8 Ni 2.51-2.52, 2 Fe 2.52
Ni 0.5000 0.5000 0.0000  4 Fe 2.51, 8 Ni 2.52
Ni 0.5000 0.0000 0.8320  2 V 2.47, 8 Ni 2.51-2.52, 2 Fe 2.52
Ni 0.5000 0.0000 0.5000  8 Ni 2.50-2.51, 4 V 2.54
Ni 0.5000 0.5000 0.3348  8 Ni 2.50-2.52, 4 V 2.51
Ni 0.5000 0.5000 0.6652  8 Ni 2.50-2.52, 4 V 2.51
Fe 0.0000 0.0000 0.0000  12 Ni 2.51-2.52
V 0.0000 0.0000 0.6706  12 Ni 2.47-2.54
V 0.0000 0.0000 0.3294  12 Ni 2.47-2.54



4.
V2Fe2Ni7 | PBE | relaxed

Results
The formation enthalpy at 0 K comes out at 2.8 meV/atom. For the size of the total moment, the calculation gives 5.49 μB/f.u. The offset from the most stable computed form is 0 meV/atom. As for the crystal system: orthorhombic. The density of states at the Fermi level comes out at 1.29 states/eV/atom. The raw total energy is -6.87 eV per atom. The calculated density is 8.03 Mg/m³.

Cell: 3.9442 5.5851 6.7880 Å, 114.29 106.89 90.00°
With the nearest neighbours (Å) after each atom.
Fractional coordinates of all 11 atoms:
V 0.7016 0.3250 0.4032  9 Ni 2.41-2.66, 1 Fe 2.64
V 0.2984 0.9218 0.5968  9 Ni 2.41-2.66, 1 Fe 2.64
Ni 0.1432 0.4830 0.2864  1 Fe 2.29, 4 Ni 2.39-2.55, 3 V 2.41
Ni 0.8568 0.1965 0.7136  1 Fe 2.29, 4 Ni 2.39-2.55, 3 V 2.41
Ni 0.1391 0.0504 0.2782  1 Fe 2.31, 6 Ni 2.39-2.58, 3 V 2.41-2.47
Ni 0.6657 0.7884 0.3314  7 Ni 2.50-2.58, 2 V 2.51, 3 Fe 2.52-2.77
Ni 0.5000 0.9044 0.0000  3 Fe 2.41-2.53, 6 Ni 2.50-2.56, 2 V 2.66
Ni 0.8609 0.7722 0.7218  1 Fe 2.31, 6 Ni 2.39-2.58, 3 V 2.41-2.47
Ni 0.3343 0.4570 0.6686  7 Ni 2.50-2.58, 2 V 2.51, 3 Fe 2.52-2.77
Fe 0.5000 0.3356 0.0000  7 Ni 2.41-2.59, 2 Fe 2.53, 2 V 2.64
Fe 0.0000 0.6197 0.0000  6 Ni 2.29-2.53, 2 Fe 2.53



- Number 1 is which compound?
  V2Fe3Ni3



- Which value of formation enthalpy at 0 K does entry 3 give?
  -153.8 meV/atom



- The highest formation enthalpy at 0 K belongs to which entry?
  VFe2Ni8



- Among the records above, which one has the lowest raw total energy?
  V2Fe3Ni3